Below is a relaxed AcSm15Er4 crystal, with properties calculated at the GGA-PBE level.

Results
Density of states at the Fermi level ... 1.43 states/eV per atom
V ... 671.8 Å³ per cell
Uncorrected energy ... -4.63 eV/atom

Cell lengths 5.123, 5.123, 25.594 Å; angles 90.00, 90.00, 90.00 degrees
Space group P4/mmm (No. 123)
Symmetry-distinct sites (fractional):
Ac  0.000  0.000  0.000 [1 per cell]
Sm  0.000  0.500  0.106 [4 per cell]
Sm  0.000  0.500  0.303 [4 per cell]
Sm  0.000  0.500  0.500 [2 per cell]
Sm  0.500  0.500  0.000 [1 per cell]
Sm  0.500  0.500  0.205 [2 per cell]
Sm  0.500  0.500  0.402 [2 per cell]
Er  0.000  0.000  0.204 [2 per cell]
Er  0.000  0.000  0.401 [2 per cell]